1.
24
Lattice="4.635 0.000 0.043 -0.022 9.156 -0.006 0.099 -0.065 14.979" Properties=species:S:1:pos:R:3 comment="SeS7 | Alexandria | PBEsol | optimized geometry" e_tot_ev_per_cell=-102.913 sg="P1 (1)" pbc="T T T"
S 1.220 2.532 14.907
Se 2.374 7.530 5.763
S 1.228 6.998 7.587
S 3.444 1.144 2.180
S 2.381 4.521 4.077
S 1.048 7.898 2.144
S 3.578 6.656 14.968
S 0.106 -0.041 11.612
S 3.562 2.009 7.639
S 3.554 5.709 5.264
S 1.195 7.893 12.833
Se 4.545 3.029 1.779
S 2.352 4.531 10.911
Se 2.430 1.515 5.798
S 1.260 3.349 5.328
S 3.468 5.769 9.705
S 4.550 6.256 1.682
S 1.278 3.296 9.665
S 2.403 1.618 9.279
S 0.081 2.882 13.242
S 4.546 9.106 3.409
S 2.333 7.424 9.254
S 3.633 1.180 12.885
S 0.077 6.222 13.267

2.
5
Lattice="-3.032 -0.455 3.242 0.228 -4.437 -0.409 3.352 -0.116 3.119" Properties=species:S:1:pos:R:3 comment="AsPIrS2 | Alexandria | PBEsol | optimized geometry" e_tot_ev_per_cell=-22.521 sg="P4/mmm (123)" n_ef_per_ev_cell=5.98 pbc="T T T"
As 0.000 0.000 0.000
S -1.516 -0.227 1.621
Ir 0.274 -2.504 2.976
P 1.676 -0.058 1.559
S 0.114 -2.219 -0.205

3.
26
Lattice="5.428 0.001 0.000 -0.117 5.427 0.000 -2.656 -2.714 11.612" Properties=species:S:1:pos:R:3 comment="Ba4Y2Cu5PdO14 | Alexandria | PBEsol | optimized geometry" e_tot_ev_per_cell=-171.266 sg="Fmmm (69)" n_ef_per_ev_cell=12.11 pbc="T T T"
Cu 0.000 0.000 0.000
Ba -0.058 2.713 2.136
O 1.270 4.070 4.390
O 1.222 4.117 0.000
O 2.656 2.714 9.726
Ba -0.058 2.713 9.477
Y -0.058 2.713 5.806
O 3.985 4.072 4.405
O 0.000 0.000 9.648
Cu 0.000 0.000 7.473
Pd 2.656 2.714 0.000
Cu 0.000 0.000 4.096
Cu 2.656 2.714 7.517
O -1.386 1.356 7.222
O 1.326 1.355 4.405
O 0.000 0.000 1.887
O -1.330 -1.359 7.208
Y 2.714 0.000 5.806
O 1.386 -1.356 7.222
Cu 2.656 2.714 4.139
Ba 2.714 0.000 9.477
O 4.090 1.310 0.000
O 2.656 2.714 1.965
O 4.042 1.357 4.390
Ba 2.714 0.000 2.136
O 1.330 1.359 7.208

4.
4
Lattice="4.001 0.000 0.000 0.000 4.001 0.000 -2.001 -2.001 5.040" Properties=species:S:1:pos:R:3 comment="YZr2Ru | Alexandria | PBEsol | optimized geometry" e_tot_ev_per_cell=-34.704 sg="I-4m2 (119)" n_ef_per_ev_cell=5.86 e_form_mev_per_atom=117 pbc="T T T"
Zr 0.000 0.000 0.000
Zr 2.001 0.000 2.520
Ru 2.001 2.001 0.000
Y 0.000 2.001 2.520

5.
4
Lattice="-1.805 2.625 2.371 -0.866 -3.865 0.293 4.044 -0.620 3.765" Properties=species:S:1:pos:R:3 comment="MnNiTe2 | Alexandria | PBEsol | optimized geometry" e_tot_ev_per_cell=-23.392 sg="P-3m1 (164)" n_ef_per_ev_cell=2.21 pbc="T T T"
Ni 0.000 0.000 0.000
Te 1.906 -2.175 3.859
Mn 2.022 -0.310 1.883
Te -0.534 0.315 2.571

6.
4
Lattice="-4.104 -1.449 2.449 2.843 -2.270 3.421 0.751 6.049 -0.255" Properties=species:S:1:pos:R:3 comment="NdY3 | Alexandria | PBEsol | optimized geometry" e_tot_ev_per_cell=-25.574 sg="I4/mmm (139)" n_ef_per_ev_cell=5.64 e_form_mev_per_atom=15 pbc="T T T"
Y -0.630 -1.860 2.935
Y 1.482 0.959 3.050
Nd 0.000 0.000 0.000
Y -1.992 1.370 2.565

7.
24
Lattice="-2.483 -4.251 -2.734 -0.320 0.306 5.614 -7.300 4.696 -0.672" Properties=species:S:1:pos:R:3 comment="Mn3CrO8 | Alexandria | PBEsol | optimized geometry" e_tot_ev_per_cell=-202.644 sg="P6_3mc (186)" n_ef_per_ev_cell=7.79 pbc="T T T"
O -5.037 -1.609 -1.601
O -2.676 -0.985 3.962
O -8.336 1.498 -0.557
Mn -4.025 -1.214 2.661
O -6.276 1.040 0.822
Mn -7.879 0.218 -1.865
O -5.195 -1.457 1.185
O -8.482 1.656 2.251
O -1.449 0.742 2.701
O -7.250 3.765 3.607
Mn -6.645 2.331 -0.506
Mn -2.792 0.898 4.020
Mn -2.632 0.747 1.230
Mn -8.038 0.370 0.925
O -2.536 -1.119 1.504
O -1.323 0.851 -0.122
O -4.973 3.200 -0.458
O -6.135 0.906 -1.636
O -3.966 0.669 2.562
Cr -5.485 -0.336 -0.294
O -7.091 3.614 0.822
O -3.805 0.500 -0.244
Cr -1.114 -1.166 2.824
O -7.363 -0.821 -0.375

8.
4
Lattice="-0.849 -2.298 -1.353 2.644 -0.540 -0.742 0.978 -4.222 6.558" Properties=species:S:1:pos:R:3 comment="AgPt2W | Alexandria | PBEsol | optimized geometry" e_tot_ev_per_cell=-31.936 sg="P4/mmm (123)" n_ef_per_ev_cell=2.06 e_form_mev_per_atom=-223 pbc="T T T"
Ag 1.387 -3.530 2.232
W 0.897 -1.419 -1.047
Pt 0.748 -3.230 5.017
Pt 0.230 -0.992 1.541

9.
4
Lattice="3.956 0.151 0.000 -0.209 4.210 0.000 -1.874 -2.181 5.420" Properties=species:S:1:pos:R:3 comment="Tl2CrAs | Alexandria | PBEsol | optimized geometry" e_tot_ev_per_cell=-18.597 sg="C2/m (12)" n_ef_per_ev_cell=2.06 e_form_mev_per_atom=503 pbc="T T T"
Tl -0.937 -1.090 2.710
Cr -0.105 2.105 0.000
As 1.978 0.076 0.000
Tl 0.937 1.090 2.710

10.
10
Lattice="-6.525 -2.672 -0.854 4.049 -4.390 -3.849 1.615 -1.776 6.684" Properties=species:S:1:pos:R:3 comment="Rb3SbF6 | Alexandria | PBEsol | optimized geometry" e_tot_ev_per_cell=-44.624 sg="C2/m (12)" n_ef_per_ev_cell=0.00 pbc="T T T"
F -4.806 -3.850 -0.165
Rb 0.808 -0.888 3.342
F -1.811 -5.623 -3.185
Rb 2.025 -2.195 -1.924
F 3.946 -4.988 2.145
F 0.951 -3.215 5.166
Sb 0.000 0.000 0.000
F -3.530 -3.776 4.261
Rb -3.262 -1.336 -0.427
F 2.670 -5.062 -2.281

11.
4
Lattice="4.733 0.000 0.000 2.366 4.098 0.000 2.366 1.366 3.864" Properties=species:S:1:pos:R:3 comment="LiZrCd2 | Alexandria | PBEsol | optimized geometry" e_tot_ev_per_cell=-13.641 sg="F-43m (216)" n_ef_per_ev_cell=2.27 e_form_mev_per_atom=-48 pbc="T T T"
Zr 2.366 1.366 0.966
Cd 0.000 0.000 0.000
Cd 7.099 4.098 2.898
Li 4.733 2.732 1.932

Question: Number 3 is which compound?
Answer: Ba4Y2Cu5PdO14